This record from Alexandria via LeMat-Bulk describes crystalline Nb2Ir2Os3 at its relaxed geometry. The functional is PBE.

## Properties
- Space-group type: I2_12_12_1, No. 24
- ΔH_f (0 K): 0.18 eV per atom
- Calculated total energy: -10.044 eV/atom

a b c (Å): 6.756 6.756 6.756
angles (deg): 97.09 116.69 115.30
Atoms (fractional coordinates):
Nb1 0.931 0.928 0.431
Nb2 0.569 0.500 0.497
Nb3 0.497 0.000 0.069
Nb4 0.003 0.572 0.003
Ir1 0.014 0.027 0.849
Ir2 0.486 0.835 0.513
Ir3 0.178 0.665 0.651
Ir4 0.322 0.473 0.987
Os1 0.698 0.750 0.948
Os2 0.802 0.250 0.552
Os3 0.033 0.283 0.250
Os4 0.467 0.217 0.750
Os5 0.250 0.026 0.276
Os6 0.750 0.474 0.224